This record from Alexandria describes a relaxed structure of SrLi2Dy2Pb2. The functional is PBE.

Computed properties:
The calculated total energy is -3.52 eV per atom. As for the crystal system: trigonal. Its spin magnetization is 0.01 μB per formula unit. The volume comes out at 28.449 Å³ per atom. The energy of formation is -0.358 eV/atom.

a b c (Å): 9.8894 9.8894 9.8894
angles (deg): 28.85 28.85 28.85
Fractional positions:
1 Sr 0.0000 0.0000 0.0000
2 Li 0.4207 0.4207 0.4207
3 Li 0.5793 0.5793 0.5793
4 Dy 0.1320 0.1320 0.1320
5 Dy 0.8680 0.8680 0.8680
6 Pb 0.2536 0.2536 0.2536
7 Pb 0.7464 0.7464 0.7464

***

This record from Alexandria describes a relaxed structure of PaZnGa2. The functional is PBE.

Computed properties:
The calculated total energy is -4.31 eV per atom. As for the crystal system: tetragonal. Its spin magnetization is 0.00 μB per formula unit. The volume comes out at 19.118 Å³ per atom. The energy of formation is -0.107 eV/atom.

a b c (Å): 3.3381 3.3381 6.8631
angles (deg): 90.00 90.00 90.00
Fractional positions:
1 Pa 0.0000 0.0000 0.0000
2 Zn 0.0000 0.0000 0.5000
3 Ga 0.5000 0.5000 0.2933
4 Ga 0.5000 0.5000 0.7067

***

This record from Alexandria describes a relaxed structure of CrC2S. The functional is PBE.

Computed properties:
The calculated total energy is -6.94 eV per atom. As for the crystal system: tetragonal. The formation energy (no corrections) is 1.11 eV per atom. Its spin magnetization is 0.00 μB per formula unit. The volume comes out at 10.058 Å³ per atom.

a b c (Å): 5.0659 5.0659 5.0659
angles (deg): 126.92 126.92 78.38
Fractional positions:
1 Cr 0.0000 0.0000 0.0000
2 Cr 0.7500 0.2500 0.5000
3 C 0.1632 0.6250 0.0382
4 C 0.3750 0.4132 0.5382
5 C 0.5868 0.1250 0.9618
6 C 0.8750 0.8368 0.4618
7 S 0.2500 0.7500 0.5000
8 S 0.5000 0.5000 0.0000

***

This record from Alexandria describes a relaxed structure of Ac2BO5. The functional is PBE.

Computed properties:
The calculated total energy is -7.83 eV per atom. As for the crystal system: monoclinic. The formation energy (no corrections) is -2.87 eV per atom. Its spin magnetization is 1.06 μB per formula unit. The volume comes out at 15.216 Å³ per atom.

a b c (Å): 8.8575 8.1424 7.2236
angles (deg): 90.00 110.83 90.00
Fractional positions:
1 Ac 0.0173 0.1273 0.2723
2 Ac 0.0173 0.3727 0.7723
3 Ac 0.3988 0.6707 0.1099
4 Ac 0.3988 0.8293 0.6099
5 Ac 0.6012 0.1707 0.3901
6 Ac 0.6012 0.3293 0.8901
7 Ac 0.9827 0.6273 0.2277
8 Ac 0.9827 0.8727 0.7277
9 B 0.2991 0.0426 0.0391
10 B 0.2991 0.4574 0.5391
11 B 0.7009 0.5426 0.4609
12 B 0.7009 0.9574 0.9609
13 O 0.1012 0.6355 0.9581
14 O 0.1012 0.8645 0.4581
15 O 0.1341 0.1111 0.9905
16 O 0.1341 0.3889 0.4905
17 O 0.2938 0.5817 0.3852
18 O 0.2938 0.9183 0.8852
19 O 0.3639 0.5367 0.7417
20 O 0.3639 0.9633 0.2417
21 O 0.3922 0.1910 0.0275
22 O 0.3922 0.3090 0.5275
23 O 0.6078 0.6910 0.4725
24 O 0.6078 0.8090 0.9725
25 O 0.6361 0.0367 0.7583
26 O 0.6361 0.4633 0.2583
27 O 0.7062 0.0817 0.1148
28 O 0.7062 0.4183 0.6148
29 O 0.8659 0.6111 0.5095
30 O 0.8659 0.8889 0.0095
31 O 0.8988 0.1355 0.5419
32 O 0.8988 0.3645 0.0419

***

This record from Alexandria describes a relaxed structure of LaTi2Ni2. The functional is PBE.

Computed properties:
The calculated total energy is -6.51 eV per atom. As for the crystal system: tetragonal. Its spin magnetization is 0.00 μB per formula unit. The volume comes out at 17.700 Å³ per atom. The energy of formation is -0.056 eV/atom.

a b c (Å): 7.4462 7.4462 3.1924
angles (deg): 90.00 90.00 90.00
Fractional positions:
1 La 0.0000 0.0000 0.0000
2 La 0.5000 0.5000 0.0000
3 Ti 0.1490 0.3510 0.5000
4 Ti 0.3510 0.8510 0.5000
5 Ti 0.6490 0.1490 0.5000
6 Ti 0.8510 0.6490 0.5000
7 Ni 0.1187 0.6187 0.0000
8 Ni 0.3813 0.1187 0.0000
9 Ni 0.6187 0.8813 0.0000
10 Ni 0.8813 0.3813 0.0000

***

This record from Alexandria describes a relaxed structure of Li3TaCu. The functional is PBE.

Computed properties:
The calculated total energy is -3.40 eV per atom. As for the crystal system: cubic. Its spin magnetization is 0.00 μB per formula unit. The volume comes out at 15.406 Å³ per atom. The energy of formation is 0.937 eV/atom.

a b c (Å): 4.2549 4.2549 4.2549
angles (deg): 90.00 90.00 90.00
Fractional positions:
1 Li 0.0000 0.0000 0.5000
2 Li 0.0000 0.5000 0.0000
3 Li 0.5000 0.0000 0.0000
4 Ta 0.5000 0.5000 0.5000
5 Cu 0.0000 0.0000 0.0000

***

This record from Alexandria describes a relaxed structure of GaCo5B2. The functional is PBE.

Computed properties:
The calculated total energy is -6.68 eV per atom. As for the crystal system: orthorhombic. Its spin magnetization is 3.03 μB per formula unit. The volume comes out at 9.912 Å³ per atom. The energy of formation is -0.191 eV/atom.

a b c (Å): 6.2672 6.2672 6.2672
angles (deg): 154.80 130.49 56.35
Fractional positions:
1 Ga 0.0000 0.0000 0.0000
2 Co 0.0971 0.3484 0.7487
3 Co 0.4003 0.6516 0.7487
4 Co 0.5000 0.0000 0.5000
5 Co 0.5997 0.3484 0.2513
6 Co 0.9029 0.6516 0.2513
7 B 0.2942 0.7942 0.5000
8 B 0.7058 0.2058 0.5000

***

This record from Alexandria describes a relaxed structure of SrTlCuHg2. The functional is PBE.

Computed properties:
The calculated total energy is -1.87 eV per atom. As for the crystal system: tetragonal. Its spin magnetization is 0.00 μB per formula unit. The volume comes out at 27.903 Å³ per atom. The energy of formation is -0.123 eV/atom.

a b c (Å): 5.1775 5.1775 5.2045
angles (deg): 90.00 90.00 90.00
Fractional positions:
1 Sr 0.0000 0.0000 0.0000
2 Tl 0.5000 0.5000 0.0000
3 Cu 0.5000 0.5000 0.5000
4 Hg 0.0000 0.5000 0.5000
5 Hg 0.5000 0.0000 0.5000

***

This record from Alexandria describes a relaxed structure of HfAs2BrO. The functional is PBE.

Computed properties:
The calculated total energy is -5.20 eV per atom. As for the crystal system: tetragonal. The formation energy (no corrections) is -0.02 eV per atom. Its spin magnetization is 0.00 μB per formula unit. The volume comes out at 18.207 Å³ per atom.

a b c (Å): 4.1087 4.1087 5.3928
angles (deg): 90.00 90.00 90.00
Fractional positions:
1 Hf 0.0000 0.0000 0.0000
2 As 0.0000 0.5000 0.5000
3 As 0.5000 0.0000 0.5000
4 Br 0.5000 0.5000 0.0000
5 O 0.5000 0.5000 0.5000

***

This record from Alexandria describes a relaxed structure of Mg2Al2Ir. The functional is PBE.

Computed properties:
The calculated total energy is -3.67 eV per atom. As for the crystal system: tetragonal. Its spin magnetization is 0.00 μB per formula unit. The volume comes out at 18.227 Å³ per atom. The energy of formation is 0.238 eV/atom.

a b c (Å): 6.6606 6.6606 4.1085
angles (deg): 90.00 90.00 90.00
Fractional positions:
1 Mg 0.1475 0.3525 0.0000
2 Mg 0.3525 0.8525 0.0000
3 Mg 0.6475 0.1475 0.0000
4 Mg 0.8525 0.6475 0.0000
5 Al 0.1609 0.6609 0.5000
6 Al 0.3391 0.1609 0.5000
7 Al 0.6609 0.8391 0.5000
8 Al 0.8391 0.3391 0.5000
9 Ir 0.0000 0.0000 0.0000
10 Ir 0.5000 0.5000 0.0000